No. 1
PBE PrNdCo2Bi2Sb2, optimized geometry; E_tot = -5.580 eV/atom; calculated volume = 24.90 Å³/atom; ρ = 8.87 g cm⁻³; space group = P4mm
1.0
4.482 0.000 0.000
0.000 4.482 0.000
0.000 0.000 9.915
Pr Nd Co Bi Sb
1 1 2 2 2
Cartesian
0.000 0.000 0.000
2.241 2.241 4.536
0.000 2.241 2.282
2.241 0.000 2.282
0.000 2.241 7.218
2.241 0.000 7.218
0.000 0.000 3.579
2.241 2.241 0.980

---

No. 2
PBE Co2NiBi, optimized geometry; E_tot = -5.555 eV/atom; calculated volume = 14.03 Å³/atom; ρ = 11.41 g cm⁻³; space group = F-43m
1.0
6.077 0.000 0.000
0.000 6.077 0.000
0.000 0.000 6.077
Co Ni Bi
8 4 4
Cartesian
0.000 0.000 0.000
0.000 3.039 3.039
1.519 1.519 1.519
1.519 4.558 4.558
3.039 0.000 3.039
3.039 3.039 0.000
4.558 1.519 4.558
4.558 4.558 1.519
0.000 0.000 3.039
0.000 3.039 0.000
3.039 0.000 0.000
3.039 3.039 3.039
1.519 1.519 4.558
1.519 4.558 1.519
4.558 1.519 1.519
4.558 4.558 4.558

---

No. 3
PBE CoNi2Bi, optimized geometry; E_tot = -5.287 eV/atom; calculated volume = 13.78 Å³/atom; ρ = 11.61 g cm⁻³; space group = F-43m
1.0
6.041 0.000 0.000
0.000 6.041 0.000
0.000 0.000 6.041
Co Ni Bi
4 8 4
Cartesian
0.000 0.000 0.000
0.000 3.020 3.020
3.020 0.000 3.020
3.020 3.020 0.000
0.000 0.000 3.020
0.000 3.020 0.000
1.510 1.510 4.531
1.510 4.531 1.510
3.020 0.000 0.000
3.020 3.020 3.020
4.531 1.510 1.510
4.531 4.531 4.531
1.510 1.510 1.510
1.510 4.531 4.531
4.531 1.510 4.531
4.531 4.531 1.510

---

Question: Which of these has the highest E_tot?
Answer: CoNi2Bi